Record 1
VASP calculation (PBE-GGA) on a geometry-optimized Cd13Sb2 structure.

a = 8.019 Å, b = 8.019 Å, c = 9.396 Å
α = 64.74°, β = 64.74°, γ = 60.00°
Atoms (fractional coordinates):
1 Cd 0.736 0.099 0.428
2 Cd 0.455 0.880 0.211
3 Cd 0.500 0.500 0.500
4 Cd 0.880 0.455 0.211
5 Sb 0.690 0.690 0.931
6 Cd 0.901 0.264 0.572
7 Cd 0.099 0.736 0.428
8 Cd 0.455 0.455 0.211
9 Cd 0.736 0.736 0.428
10 Cd 0.264 0.264 0.572
11 Cd 0.120 0.545 0.789
12 Cd 0.264 0.901 0.572
13 Sb 0.310 0.310 0.069
14 Cd 0.545 0.120 0.789
15 Cd 0.545 0.545 0.789

total magnetic moment	0.000	μB/atom
density	6.2	Mg/m³
energy relative to the elements, uncorrected	0.1071	eV per atom
E_tot	-1.2356	eV/atom

=====

Record 2
VASP calculation (PBE-GGA) on a geometry-optimized CdSb structure.

a = 4.259 Å, b = 4.259 Å, c = 4.259 Å
α = 60.00°, β = 60.00°, γ = 60.00°
Atoms (fractional coordinates):
1 Cd 0.000 0.000 0.000
2 Sb 0.500 0.500 0.500

total magnetic moment	0.000	μB/atom
density	7.1	Mg/m³
energy relative to the elements, uncorrected	0.1093	eV per atom
E_tot	-2.4095	eV/atom
energy above the most stable polymorph in this dataset	156	meV per atom

=====

Record 3
VASP calculation (PBE-GGA) on a geometry-optimized CdSb3 structure.

a = 11.039 Å, b = 11.039 Å, c = 11.039 Å
α = 17.49°, β = 17.49°, γ = 17.49°
Atoms (fractional coordinates):
1 Sb 0.500 0.500 0.500
2 Sb 0.747 0.747 0.747
3 Sb 0.253 0.253 0.253
4 Cd 0.000 0.000 0.000

total magnetic moment	0.000	μB/atom
density	7.5	Mg/m³
energy relative to the elements, uncorrected	0.2130	eV per atom
E_tot	-3.1076	eV/atom
energy above the most stable polymorph in this dataset	157	meV per atom